Record 1
Computed, not measured: a geometry-optimized Nd12SmY6 structure at the PBE-GGA level of DFT.

Computed properties:
Energy relative to the lowest polymorph listed for this composition ... 0 meV per atom
Magnetic moment ... 0.00 μB per formula unit
Mass density ... 6035 kg/m3

Lattice parameters (Å, degrees): 12.2498 12.2498 15.3369 90.00 90.00 120.00
Space group R-3 (No. 148, hexagonal axes)
One atom of each set of equivalent atoms:
Nd  0.0045  0.8308  0.1924 (multiplicity 18)
Nd  0.0474  0.8503  0.4167 (multiplicity 18)
Sm  0.0000  0.0000  0.0000 (multiplicity 3)
Y  0.0144  0.4268  0.6867 (multiplicity 18)

Record 2
Computed, not measured: a geometry-optimized Ba2LiCdS structure at the PBE-GGA level of DFT.

Computed properties:
Magnetic moment ... 0.44 μB per formula unit
Mass density ... 3935 kg/m3
Total energy ... -3.000 eV per atom

Lattice parameters (Å, degrees): 6.248 6.248 4.605 90.00 90.00 90.00
Space group P4/mmm (No. 123)
One atom of each set of equivalent atoms:
Ba  0.000  0.500  0.000 (multiplicity 2)
Li  0.000  0.000  0.500 (multiplicity 1)
Cd  0.500  0.500  0.500 (multiplicity 1)
S  0.000  0.000  0.000 (multiplicity 1)

Record 3
Computed, not measured: a geometry-optimized Rb2BaCI6 structure at the PBE-GGA level of DFT.

Computed properties:
Magnetic moment ... 0.00 μB per formula unit
Mass density ... 4054 kg/m3
Total energy ... -2.783 eV per atom

Lattice parameters (Å, degrees): 12.102 12.102 12.102 90.00 90.00 90.00
Space group Fm-3m (No. 225)
One atom of each set of equivalent atoms:
Rb  0.250  0.250  0.250 (multiplicity 8)
Ba  0.000  0.000  0.000 (multiplicity 4)
C  0.000  0.000  0.500 (multiplicity 4)
I  0.000  0.000  0.278 (multiplicity 24)

Q: The highest magnetic moment belongs to which entry?
A: Ba2LiCdS

Q: Which of these has the highest magnetic moment?
A: Ba2LiCdS

Q: Among the records above, which one has the highest magnetic moment?
A: Ba2LiCdS